No. 1
Entry from the Alexandria database: crystalline PrSn2Hg at its relaxed geometry (PBE-GGA).

extended XYZ file:
```
4
Lattice="3.9958 0.0000 0.0000 0.0000 3.9958 0.0000 0.0000 0.0000 6.8944" Properties=species:S:1:pos:R:3 pbc="T T T"
Pr 0.0000 0.0000 0.0000
Sn 1.9979 1.9979 1.9242
Sn 1.9979 1.9979 4.9702
Hg 0.0000 0.0000 3.4472
```

## Properties
* relative energy among the computed polymorphs: 75.6 kJ/mol of formula units
* crystal system: tetragonal
* spin magnetization: 0.0 μB/cell
* ρ: 8.7 Mg/m³
* energy relative to the elements: -30 kJ/mol of atoms



No. 2
Entry from the Alexandria database: crystalline PrSn2Hg at its relaxed geometry (PBE-GGA).

extended XYZ file:
```
4
Lattice="1.7720 1.0231 11.0542 -1.7720 1.0231 11.0542 0.0000 -2.0461 11.0542" Properties=species:S:1:pos:R:3 pbc="T T T"
Pr 0.0000 0.0000 0.0000
Sn 0.0000 0.0000 3.2008
Sn 0.0000 0.0000 29.9619
Hg 0.0000 0.0000 16.5814
```

## Properties
* relative energy among the computed polymorphs: 228.3 kJ/mol of formula units
* crystal system: trigonal
* spin magnetization: 0.0 μB/cell
* ρ: 8.0 Mg/m³
* energy relative to the elements: 8 kJ/mol of atoms



No. 3
Entry from the Alexandria database: crystalline Pr3Sn3Hg at its relaxed geometry (PBE-GGA).

extended XYZ file:
```
14
Lattice="5.9543 -2.3466 0.0000 5.9543 2.3466 0.0000 -4.7878 0.0000 14.7105" Properties=species:S:1:pos:R:3 pbc="T T T"
Pr -1.6023 0.0000 5.5309
Pr -3.1619 0.0000 13.5893
Pr 1.6523 0.0000 3.3392
Pr 5.4685 0.0000 11.3714
Pr 10.2827 0.0000 1.1212
Pr 8.7231 0.0000 9.1796
Sn 2.1645 0.0000 6.7197
Sn 0.1175 0.0000 13.6031
Sn 2.2255 0.0000 11.4323
Sn 4.8953 0.0000 3.2782
Sn 7.0033 0.0000 1.1075
Sn 4.9563 0.0000 7.9908
Hg 0.3037 0.0000 9.1325
Hg 6.8171 0.0000 5.5780
```

## Properties
* relative energy among the computed polymorphs: 0.0 kJ/mol of formula units
* crystal system: monoclinic
* spin magnetization: 0.0 μB/cell
* ρ: 7.9 Mg/m³
* energy relative to the elements: -65 kJ/mol of atoms



No. 4
Entry from the Alexandria database: crystalline PrSnHg2 at its relaxed geometry (PBE-GGA).

extended XYZ file:
```
4
Lattice="3.8747 0.0000 0.0000 0.0000 3.8747 0.0000 0.0000 0.0000 7.1428" Properties=species:S:1:pos:R:3 pbc="T T T"
Pr 0.0000 0.0000 0.0000
Sn 0.0000 0.0000 3.5714
Hg 1.9374 1.9374 1.8750
Hg 1.9374 1.9374 5.2678
```

## Properties
* crystal system: tetragonal
* spin magnetization: 0.4 μB/cell
* ρ: 10.2 Mg/m³
* energy relative to the elements: -31 kJ/mol of atoms



No. 5
Entry from the Alexandria database: crystalline Pr3SnHg5 at its relaxed geometry (PBE-GGA).

extended XYZ file:
```
18
Lattice="9.2427 0.0000 0.0000 -4.6214 8.0044 0.0000 0.0000 0.0000 6.5666" Properties=species:S:1:pos:R:3 pbc="T T T"
Pr -1.4966 2.5921 1.6417
Pr -3.1248 5.4123 4.9250
Pr 2.9931 0.0000 1.6417
Pr 1.4966 2.5921 4.9250
Pr 6.2496 0.0000 4.9250
Pr 3.1248 5.4123 1.6417
Sn 0.0000 0.0000 0.0000
Sn 0.0000 0.0000 3.2833
Hg -1.6001 2.7715 4.9250
Hg -3.0212 5.2329 1.6417
Hg 0.0000 5.3363 0.0000
Hg 0.0000 5.3363 3.2833
Hg 3.2003 0.0000 4.9250
Hg 1.6001 2.7715 1.6417
Hg 6.0425 0.0000 1.6417
Hg 3.0212 5.2329 4.9250
Hg 4.6214 2.6681 0.0000
Hg 4.6214 2.6681 3.2833
```

## Properties
* crystal system: hexagonal
* spin magnetization: 0.0 μB/cell
* ρ: 10.6 Mg/m³
* energy relative to the elements: -47 kJ/mol of atoms



No. 6
Entry from the Alexandria database: crystalline Pr2SnHg at its relaxed geometry (PBE-GGA).

extended XYZ file:
```
4
Lattice="0.0000 3.8822 3.8822 3.8822 0.0000 3.8822 3.8822 3.8822 0.0000" Properties=species:S:1:pos:R:3 pbc="T T T"
Pr 1.9411 1.9411 1.9411
Pr 5.8233 5.8233 5.8233
Sn 0.0000 0.0000 0.0000
Hg 3.8822 3.8822 3.8822
```

## Properties
* relative energy among the computed polymorphs: 0.0 kJ/mol of formula units
* crystal system: cubic
* spin magnetization: 0.0 μB/cell
* ρ: 8.5 Mg/m³
* energy relative to the elements: -58 kJ/mol of atoms